[1]
Entry from Alexandria: ScCrP2 after structural relaxation (PBEsol).

Unit cell a=3.028 b=3.285 c=6.332 alpha=105.03 beta=103.84 gamma=90.00
Last column: magnetic moment on the atom in μB.
Positions (direct):
Cr  0.294  0.794  0.588  0.57
P  0.938  0.938  0.875  -0.01
P  0.719  0.219  0.438  -0.03
Sc  0.549  0.549  0.098  0.07

Properties
Fermi-level density of states, states/eV/cell: 3.07
Offset from the most stable computed form, meV/atom: 122
E, Ry/atom: -0.578
Symmetry: Imm2 (44)
M_tot, μB per formula unit: 0.7
Formation enthalpy at 0 K, eV/f.u.: -3.0

[2]
Entry from Alexandria: CuHg2As after structural relaxation (PBEsol).

Unit cell a=2.941 b=2.941 c=8.973 alpha=90.00 beta=90.00 gamma=90.00
Positions (direct):
As  0.000  0.000  0.565
Cu  0.500  0.500  0.728
Hg  0.000  0.000  0.952
Hg  0.500  0.500  0.255

Properties
Fermi-level density of states, states/eV/cell: 1.57
E, Ry/atom: -0.183
Symmetry: P4mm (99)
M_tot, μB per formula unit: 0.0
Formation enthalpy at 0 K, eV/f.u.: 0.6

Please write out number 1 again, unchanged.
Entry from Alexandria: ScCrP2 after structural relaxation (PBEsol).

Unit cell a=3.028 b=3.285 c=6.332 alpha=105.03 beta=103.84 gamma=90.00
Last column: magnetic moment on the atom in μB.
Positions (direct):
Cr  0.294  0.794  0.588  0.57
P  0.938  0.938  0.875  -0.01
P  0.719  0.219  0.438  -0.03
Sc  0.549  0.549  0.098  0.07

Properties
Fermi-level density of states, states/eV/cell: 3.07
Offset from the most stable computed form, meV/atom: 122
E, Ry/atom: -0.578
Symmetry: Imm2 (44)
M_tot, μB per formula unit: 0.7
Formation enthalpy at 0 K, eV/f.u.: -3.0

Look up the Fermi-level density of states of the first one.
3.07 states/eV/cell